# 1
VASP calculation (PBE) on a geometry-optimized Pm5DyAg4 structure.

a b c (Å): 3.6956 3.6956 20.1042
angles (deg): 90.00 90.00 90.00
Last column: nearest neighbours and their distance in Å.
Space group P4/mmm (No. 123)
Unique sites:
Pm 0.0000 0.0000 0.0000 (multiplicity 1)  8 Ag 3.23
Pm 0.0000 0.0000 0.1890 (multiplicity 2)  8 Ag 3.23
Pm 0.0000 0.0000 0.3767 (multiplicity 2)  4 Ag 3.22
Dy 0.5000 0.5000 0.5000 (multiplicity 1)  8 Pm 3.60, 4 Dy 3.70
Ag 0.5000 0.5000 0.0942 (multiplicity 2)  8 Pm 3.23
Ag 0.5000 0.5000 0.2835 (multiplicity 2)  8 Pm 3.22-3.23

Output
The energy of formation from the pure elements comes out at -2.1 eV/f.u. The calculation puts the total energy at -4.1815 eV per atom.



# 2
VASP calculation (PBE) on a geometry-optimized Cs2PaAg2O6 structure.

a b c (Å): 6.5112 6.5112 18.7590
angles (deg): 90.00 90.00 120.00
Last column: nearest neighbours and their distance in Å.
Space group R-3m (No. 166, hexagonal axes)
Unique sites:
Cs 0.0000 0.0000 0.2165 (multiplicity 6)  9 O 3.22-3.37
Pa 0.0000 0.0000 0.0000 (multiplicity 3)  6 O 2.15
Ag 0.0000 0.0000 0.4102 (multiplicity 6)  3 O 2.07
O 0.0332 0.5166 0.7373 (multiplicity 18)  1 Ag 2.07, 1 Pa 2.15

Output
The value obtained for the uncorrected formation energy is -1.50 eV per atom. The calculation puts the total energy at -5.7372 eV per atom.



| no. | size of the total moment (Bohr magnetons per cell) |
| --- | --- |
| 1 | 0.00 |
| 2 | 0.00 |